14
Lattice="-3.4076 -2.7188 3.1599 6.0879 -1.4097 -0.1039 -1.6689 5.9493 2.3665" Properties=species:S:1:pos:R:3 comment="PBE+U Li3V3O3F5, optimized geometry" total_energy_ev_per_atom=-6.151 sg="No. 1" crystal_system=triclinic pbc="T T T"
Li -1.4959 -0.3326 1.7433
Li 2.5971 0.4459 2.4334
Li 4.6574 0.7358 0.6916
V -4.3498 3.2778 5.1182
V -0.6420 3.0416 3.4471
V -1.6382 0.5811 4.5719
O 1.2135 2.6437 3.1546
O -1.4848 1.4532 2.7505
O -0.4270 2.0053 5.2461
F 1.4488 -0.8176 1.4867
F 3.1244 1.8282 1.2068
F -2.3939 3.7786 4.2867
F -3.8037 1.3136 4.5852
F -2.8294 -0.7292 3.4829